(P)
YSi2SnAs | PBE-GGA | optimized geometry

M_tot, μB per atom: 0.0000
DOS at the Fermi energy, states/eV per cell: 2.8
Calculated volume, Å³ per cell: 127

Cell: 4.8399 5.4033 4.8399 Å, 90.00 90.00 90.00°
Closest atoms and distances in Å follow each position.
Positions (direct):
Y1 0.0000 0.5000 0.0000  2 As 2.70
Si1 0.5000 0.0000 0.0000  2 As 2.42
Si2 0.0000 0.0000 0.5000  2 As 2.42
Sn1 0.5000 0.5000 0.5000  4 Y 3.42, 8 Si 3.63
As1 0.0000 0.0000 0.0000  4 Si 2.42, 2 Y 2.70



(Q)
YSi2SnAs | PBE-GGA | optimized geometry

M_tot, μB per atom: 0.0000
DOS at the Fermi energy, states/eV per cell: 2.6
Calculated volume, Å³ per cell: 144

Cell: 4.9388 5.9097 4.9388 Å, 90.00 90.00 90.00°
Closest atoms and distances in Å follow each position.
Positions (direct):
As1 0.5000 0.5000 0.5000  4 Y 3.49, 8 Si 3.85
Si1 0.5000 0.0000 0.0000  2 Sn 2.47
Si2 0.0000 0.0000 0.5000  2 Sn 2.47
Y1 0.0000 0.5000 0.0000  2 Sn 2.95
Sn1 0.0000 0.0000 0.0000  4 Si 2.47



Result of the stability comparison: (P) is the most stable of them.



(P)
Sr2SiAs | PBE-GGA | optimized geometry

M_tot, μB per atom: 0.0000
DOS at the Fermi energy, states/eV per cell: 1.6
Calculated volume, Å³ per cell: 109

Cell: 7.8060 5.4624 3.7430 Å, 90.06 61.26 123.35°
Closest atoms and distances in Å follow each position.
Positions (direct):
Si1 0.5000 0.5000 0.0000  8 Sr 3.31, 2 As 3.42
As1 0.0000 0.5000 0.5000  8 Sr 3.31, 2 Si 3.42
Sr1 0.5000 0.0000 0.5000  4 As 3.31, 4 Si 3.31, 2 Sr 3.42
Sr2 0.0000 0.0000 0.0000  4 Si 3.31, 4 As 3.31, 2 Sr 3.42



(Q)
Sr2SiAs | PBE-GGA | optimized geometry

M_tot, μB per atom: 0.0004
DOS at the Fermi energy, states/eV per cell: 4.7
Calculated volume, Å³ per cell: 113

Cell: 6.4718 6.4718 6.4718 Å, 139.49 139.49 58.63°
Closest atoms and distances in Å follow each position.
Positions (direct):
Si1 0.7500 0.2500 0.5000  4 Sr 3.17
Sr1 0.2500 0.7500 0.5000  4 Si 3.17
Sr2 0.0000 0.0000 0.0000  4 As 3.17
As1 0.5000 0.5000 0.0000  4 Sr 3.17



(R)
Sr2SiAs | PBE-GGA | optimized geometry

M_tot, μB per atom: 0.0000
DOS at the Fermi energy, states/eV per cell: 1.7
Calculated volume, Å³ per cell: 110

Cell: 4.0946 3.8198 8.0105 Å, 61.67 90.00 90.00°
Closest atoms and distances in Å follow each position.
Positions (direct):
Sr1 0.0000 0.9930 0.0074  4 As 3.28, 4 Si 3.33-3.34, 2 Sr 3.42-3.63
Sr2 0.0000 0.5070 0.4926  4 As 3.28, 4 Si 3.33-3.34, 2 Sr 3.42-3.63
Si1 0.5000 0.7500 0.7500  8 Sr 3.33-3.34, 2 As 3.53
As1 0.5000 0.2500 0.2500  8 Sr 3.28, 2 Si 3.53



Result of the stability comparison: (R) is the most stable of them.



(P)
Sr2SiAs | PBE-GGA | optimized geometry

M_tot, μB per atom: 0.0000
DOS at the Fermi energy, states/eV per cell: 2.1
Calculated volume, Å³ per cell: 109

Cell: 5.5956 5.5956 5.5956 Å, 126.71 126.71 78.73°
Closest atoms and distances in Å follow each position.
Positions (direct):
Si1 0.7500 0.2500 0.5000  8 Sr 3.31, 4 As 3.55
Sr1 0.0000 0.0000 0.0000  4 As 3.31, 4 Si 3.31, 4 Sr 3.55
Sr2 0.5000 0.5000 0.0000  4 As 3.31, 4 Si 3.31, 4 Sr 3.55
As1 0.2500 0.7500 0.5000  8 Sr 3.31, 4 Si 3.55



(Q)
Sr2SiAs | PBE-GGA | optimized geometry

M_tot, μB per atom: 0.0000
DOS at the Fermi energy, states/eV per cell: 2.3
Calculated volume, Å³ per cell: 110

Cell: 5.0958 4.2270 5.0931 Å, 90.00 90.00 90.00°
Closest atoms and distances in Å follow each position.
Positions (direct):
Si1 0.5000 0.6250 0.8749  8 Sr 3.31, 4 As 3.60
Sr1 0.5000 0.1251 0.3750  4 Si 3.31, 4 As 3.31, 4 Sr 3.60
Sr2 0.0000 0.1249 0.8751  4 As 3.31, 4 Si 3.31, 4 Sr 3.60
As1 0.0000 0.6250 0.3751  8 Sr 3.31, 4 Si 3.60



(R)
Sr2SiAs | PBE-GGA | optimized geometry

M_tot, μB per atom: 0.0000
DOS at the Fermi energy, states/eV per cell: 2.0
Calculated volume, Å³ per cell: 122

Cell: 3.7330 3.7330 8.7732 Å, 90.00 90.00 93.99°
Closest atoms and distances in Å follow each position.
Positions (direct):
As1 0.0000 0.0000 0.5760  4 Si 2.68-2.86
Sr1 0.5000 0.5000 0.3263  1 Si 3.04, 2 As 3.36
Sr2 0.0000 0.0000 0.9246  1 As 3.06, 2 Si 3.37
Si1 0.5000 0.5000 0.6731  4 As 2.68-2.86



(S)
Sr2SiAs | PBE-GGA | optimized geometry

M_tot, μB per atom: 0.0000
DOS at the Fermi energy, states/eV per cell: 4.3
Calculated volume, Å³ per cell: 109

Cell: 5.3601 5.3601 5.3601 Å, 60.00 60.00 60.00°
Closest atoms and distances in Å follow each position.
Positions (direct):
Si1 0.7500 0.7500 0.7500  4 As 3.28, 4 Sr 3.28
Sr1 0.2500 0.2500 0.2500  4 As 3.28, 4 Sr 3.28
Sr2 0.0000 0.0000 0.0000  4 Sr 3.28, 4 Si 3.28
As1 0.5000 0.5000 0.5000  4 Sr 3.28, 4 Si 3.28



Result of the stability comparison: (Q) is the most stable of them.



(P)
Sr2SiAs | PBE-GGA | optimized geometry

M_tot, μB per atom: 0.0449
DOS at the Fermi energy, states/eV per cell: 5.0
Calculated volume, Å³ per cell: 127

Cell: 9.1595 9.1595 9.1595 Å, 25.71 25.71 25.71°
Closest atoms and distances in Å follow each position.
Positions (direct):
As1 0.2500 0.2500 0.2500  6 Sr 3.13
Sr1 0.5054 0.5054 0.5054  3 As 3.13, 3 Si 3.33
Sr2 0.9946 0.9946 0.9946  3 As 3.13, 3 Si 3.33
Si1 0.7500 0.7500 0.7500  6 Sr 3.33



(Q)
Sr2SiAs | PBE-GGA | optimized geometry

M_tot, μB per atom: 0.0000
DOS at the Fermi energy, states/eV per cell: 2.8
Calculated volume, Å³ per cell: 112

Cell: 5.4129 5.4129 5.4129 Å, 60.00 60.00 60.00°
Closest atoms and distances in Å follow each position.
Positions (direct):
As1 0.5000 0.5000 0.5000  8 Sr 3.31
Sr1 0.7500 0.7500 0.7500  4 As 3.31, 4 Si 3.31
Sr2 0.2500 0.2500 0.2500  4 As 3.31, 4 Si 3.31
Si1 0.0000 0.0000 0.0000  8 Sr 3.31



Result of the stability comparison: (Q) is the most stable of them.